1.
Material: RbPuCo
Method: DFT, PBE-GGA
State: relaxed

```
RbPuCo
1.0
0.000 3.412 3.412
3.412 0.000 3.412
3.412 3.412 0.000
Co Pu Rb
1 1 1
Cartesian
0.000 0.000 0.000 Co
1.706 1.706 1.706 Pu
5.117 5.117 5.117 Rb
```

Calculated values
total moment = 5.5 μB per cell
energy above the most stable polymorph in this dataset = 0.000 eV per atom
theoretical density = 8121 kg/m3
VASP energy = -18.81 eV per formula unit



2.
Material: BaHfTc2
Method: DFT, PBE-GGA
State: relaxed

```
BaHfTc2
1.0
0.000 3.413 3.413
3.413 0.000 3.413
3.413 3.413 0.000
Ba Hf Tc
1 1 2
Cartesian
3.413 3.413 3.413 Ba
1.706 1.706 1.706 Hf
0.000 0.000 0.000 Tc
5.119 5.119 5.119 Tc
```

Calculated values
total moment = 0.0 μB per cell
theoretical density = 10689 kg/m3
VASP energy = -28.77 eV per formula unit



3.
Material: LiDy3S4
Method: DFT, PBE-GGA
State: relaxed

```
LiDy3S4
1.0
3.875 -5.472 0.000
3.875 5.472 0.000
0.000 0.000 3.871
Dy Li S
3 1 4
Cartesian
1.937 -2.736 0.000 Dy
1.937 2.736 0.000 Dy
3.875 0.000 1.936 Dy
0.000 0.000 1.936 Li
1.898 0.000 0.000 S
5.851 0.000 0.000 S
3.875 -2.784 1.936 S
3.875 2.784 1.936 S
```

Calculated values
total moment = 0.0 μB per cell
theoretical density = 6299 kg/m3
VASP energy = -47.75 eV per formula unit



4.
Material: Co3B
Method: DFT, PBE-GGA
State: relaxed

```
Co3B
1.0
5.154 0.000 0.000
0.000 6.614 0.000
0.000 0.000 4.403
B Co
4 12
Cartesian
1.958 1.654 0.272 B
4.535 1.654 1.930 B
0.620 4.961 2.473 B
3.197 4.961 4.131 B
5.028 4.961 0.592 Co
3.526 0.393 0.662 Co
3.526 2.914 0.662 Co
0.949 0.393 1.539 Co
0.949 2.914 1.539 Co
2.451 4.961 1.610 Co
2.704 1.654 2.793 Co
4.205 3.700 2.864 Co
4.205 6.221 2.864 Co
1.628 3.700 3.741 Co
1.628 6.221 3.741 Co
0.126 1.654 3.811 Co
```

Calculated values
total moment = 14.3 μB per cell
theoretical density = 8303 kg/m3
VASP energy = -28.72 eV per formula unit



5.
Material: ZnGaCuMo
Method: DFT, PBE-GGA
State: relaxed

```
ZnGaCuMo
1.0
3.187 -2.145 -2.028
-0.064 -4.341 -0.162
-0.794 -2.021 -3.762
Cu Ga Mo Zn
1 1 1 1
Cartesian
1.746 -6.380 -4.465 Cu
0.000 0.000 0.000 Ga
1.164 -4.253 -2.976 Mo
0.582 -2.127 -1.488 Zn
```

Calculated values
total moment = 1.7 μB per cell
energy above the most stable polymorph in this dataset = 0.136 eV per atom
theoretical density = 8440 kg/m3
VASP energy = -17.51 eV per formula unit



6.
Material: Dy2Np
Method: DFT, PBE-GGA
State: relaxed

```
Dy2Np
1.0
0.000 6.046 6.046
6.046 0.000 6.046
6.046 6.046 0.000
Dy Np
4 2
Cartesian
4.534 7.557 7.557 Dy
4.534 4.534 4.534 Dy
7.557 4.534 7.557 Dy
7.557 7.557 4.534 Dy
3.023 3.023 3.023 Np
6.046 6.046 6.046 Np
```

Calculated values
total moment = 8.4 μB per cell
theoretical density = 4223 kg/m3
VASP energy = -13.71 eV per formula unit



7.
Material: ErSbN2O
Method: DFT, PBE-GGA
State: relaxed

```
ErSbN2O
1.0
-2.696 -5.061 -0.095
5.446 0.316 1.772
-4.398 2.097 13.142
Er N O Sb
6 12 6 6
Cartesian
-0.559 -2.994 2.251 Er
-1.099 0.524 3.286 Er
-1.604 -2.496 5.375 Er
-0.044 -0.153 9.445 Er
-3.298 1.572 9.857 Er
-1.089 0.345 12.568 Er
0.765 -0.442 1.842 N
3.797 -0.266 2.828 N
2.296 -3.085 2.776 N
-0.543 0.182 5.748 N
2.490 0.357 6.735 N
0.989 -2.462 6.682 N
-2.637 -0.187 8.137 N
-4.138 -3.006 8.084 N
-1.105 -2.831 9.071 N
-3.944 0.436 12.044 N
-5.446 -2.383 11.991 N
-2.413 -2.207 12.978 N
-2.413 -2.025 3.253 O
0.242 -1.871 4.116 O
-1.073 -4.339 4.070 O
-0.575 1.689 10.749 O
-1.890 -0.778 10.703 O
0.765 -0.624 11.567 O
0.000 0.000 0.000 Sb
2.117 -1.184 2.987 Sb
1.148 -0.721 5.884 Sb
-2.199 1.048 6.571 Sb
-2.796 -1.928 8.936 Sb
-3.765 -1.465 11.833 Sb
```

Calculated values
total moment = 0.0 μB per cell
theoretical density = 8310 kg/m3
VASP energy = -33.11 eV per formula unit



8.
Material: Pm2PS
Method: DFT, PBE-GGA
State: relaxed

```
Pm2PS
1.0
-3.215 -1.955 -1.592
3.489 -4.164 -1.932
-0.992 -4.090 7.025
P Pm S
2 4 2
Cartesian
-0.369 -1.524 2.617 P
-0.485 -5.626 2.646 P
-1.739 -1.521 0.137 Pm
1.367 -3.640 1.710 Pm
-2.221 -3.510 3.553 Pm
0.885 -5.629 5.126 Pm
0.016 -3.559 -0.903 S
-0.870 -3.590 6.166 S
```

Calculated values
total moment = 0.0 μB per cell
energy above the most stable polymorph in this dataset = 0.000 eV per atom
theoretical density = 6078 kg/m3
VASP energy = -26.48 eV per formula unit



9.
Material: InHgPd
Method: DFT, PBE-GGA
State: relaxed

```
InHgPd
1.0
2.291 1.323 3.742
-2.291 1.323 3.742
0.000 -2.646 3.742
Hg In Pd
1 1 1
Cartesian
0.000 0.000 2.806 Hg
0.000 0.000 8.419 In
0.000 0.000 0.000 Pd
```

Calculated values
theoretical density = 10292 kg/m3
VASP energy = -8.87 eV per formula unit



10.
Material: PrNiSb2
Method: DFT, PBE-GGA
State: relaxed

```
PrNiSb2
1.0
-3.079 3.069 -0.756
-2.341 -2.924 -2.333
-4.734 -2.735 8.179
Ni Pr Sb
2 2 4
Cartesian
-2.895 1.571 -1.150 Ni
-2.526 -1.426 -1.938 Ni
-5.204 -0.549 -0.350 Pr
-4.950 -2.041 5.440 Pr
-1.979 -0.324 0.306 Sb
-5.261 0.203 2.939 Sb
-4.892 -2.793 2.151 Sb
-8.175 -2.266 4.784 Sb
```

Calculated values
total moment = 0.0 μB per cell
theoretical density = 7683 kg/m3
VASP energy = -21.53 eV per formula unit



11.
Material: SrCuSi2
Method: DFT, PBE-GGA
State: relaxed

```
SrCuSi2
1.0
0.698 -4.477 1.459
-3.514 -2.373 2.165
-2.173 -3.598 -2.235
Cu Si Sr
1 2 1
Cartesian
-1.247 -2.612 0.347 Cu
0.000 0.000 0.000 Si
-3.741 -7.836 1.042 Si
-2.494 -5.224 0.695 Sr
```

Calculated values
theoretical density = 4513 kg/m3
VASP energy = -15.05 eV per formula unit



12.
Material: TcSnNO
Method: DFT, PBE-GGA
State: relaxed

```
TcSnNO
1.0
-0.851 -0.483 3.932
2.908 -2.807 0.285
6.149 6.587 2.138
N O Sn Tc
2 2 2 2
Cartesian
3.010 0.263 0.683 N
4.168 4.679 3.563 N
0.000 0.000 0.000 O
1.029 -1.645 2.108 O
3.075 3.293 1.069 Sn
4.104 1.648 3.178 Sn
1.906 -0.920 0.299 Tc
5.272 5.861 3.947 Tc
```

Calculated values
total moment = 0.9 μB per cell
energy above the most stable polymorph in this dataset = 0.401 eV per atom
theoretical density = 5388 kg/m3
VASP energy = -27.39 eV per formula unit



- Which of these has the highest VASP energy?
  InHgPd



What did the eleventh record say?
Material: SrCuSi2
Method: DFT, PBE-GGA
State: relaxed

```
SrCuSi2
1.0
0.698 -4.477 1.459
-3.514 -2.373 2.165
-2.173 -3.598 -2.235
Cu Si Sr
1 2 1
Cartesian
-1.247 -2.612 0.347 Cu
0.000 0.000 0.000 Si
-3.741 -7.836 1.042 Si
-2.494 -5.224 0.695 Sr
```

Calculated values
theoretical density = 4513 kg/m3
VASP energy = -15.05 eV per formula unit



- The highest theoretical density belongs to which entry?
  BaHfTc2